Here is a geometry-optimized Zr2TlPt structure from Alexandria. Energies are from PBE.

Cell and atoms, written as POSCAR:
```
Zr2TlPt
1.0
3.205 0.009 0.000
-0.010 3.205 0.000
0.000 0.000 8.135
Tl Zr Pt
1 2 1
Cartesian
1.597 1.607 6.102
0.000 0.000 0.232
0.000 0.000 3.836
1.597 1.607 2.034
```

Output
As for the calculated formation energy: -0.4947 eV per atom. The calculation puts the density at 11.56 g/cm3. The energy above the lowest structure with this stoichiometry is 0 meV per atom.